Record 1
Here is a relaxed Pm2SmY6Tm crystal from Alexandria. Energies are from PBE.

abc: 9.745 8.798 8.798
angles: 117.70 94.74 94.74
Positions (direct):
Tm (0.250, 0.407, 0.593)
Y (0.686, 0.017, 0.572)
Y (0.314, 0.983, 0.428)
Y (0.618, 0.494, 0.705)
Pm (0.045, 0.296, 0.196)
Y (0.814, 0.428, 0.983)
Y (0.186, 0.572, 0.017)
Y (0.557, 0.745, 0.123)
Sm (0.250, 0.981, 0.019)
Y (0.118, 0.705, 0.494)
Pm (0.455, 0.804, 0.704)
Y (0.057, 0.123, 0.745)
Sm (0.750, 0.019, 0.981)
Y (0.882, 0.295, 0.506)
Y (0.382, 0.506, 0.295)
Pm (0.545, 0.196, 0.296)
Y (0.443, 0.255, 0.877)
Tm (0.750, 0.593, 0.407)
Y (0.943, 0.877, 0.255)
Pm (0.955, 0.704, 0.804)

Properties
Uncorrected energy ... -112.7 eV/cell
Space-group type ... C2/c, No. 15
Total magnetic moment ... 0.00 μB/cell
Calculated volume ... 659.27 Å³/cell
E_form ... 0.1119 eV per atom


Record 2
Here is a relaxed LaTaTl2 crystal from Alexandria. Energies are from PBE.

abc: 5.667 5.667 3.298
angles: 90.00 90.00 108.42
Positions (direct):
Ta (0.000, 0.500, 0.500)
La (0.500, 0.000, 0.500)
Tl (0.500, 0.500, 0.000)
Tl (0.000, 0.000, 0.000)

Properties
Uncorrected energy ... -20.1 eV/cell
Space-group type ... Cmmm, No. 65
Total magnetic moment ... 0.00 μB/cell
Calculated volume ... 100.49 Å³/cell
E_form ... 0.3636 eV per atom